No. 1
Compound: Zr2ReAg
Source: the Alexandria database
Functional: SCAN
Structure: single point on PBEsol structure

ΔE to the lowest computed polymorph = 0.365 eV/atom
Mass density = 10.96 g/cm3

a b c (Å): 4.085 4.085 8.650
angles (deg): 90.00 90.00 90.00
Space group I-4m2 (No. 119)
Symmetry-distinct sites (fractional):
1 Zr 0.000 0.000 0.000 x2
2 Zr 0.000 0.500 0.250 x2
3 Re 0.000 0.500 0.750 x2
4 Ag 0.000 0.000 0.500 x2

---

No. 2
Compound: ZrReAg4
Source: the Alexandria database
Functional: SCAN
Structure: single point on PBEsol structure

Uncorrected energy = -37.34 eV/atom
Mass density = 11.52 g/cm3

a b c (Å): 7.421 7.421 7.421
angles (deg): 90.00 90.00 90.00
Space group F-43m (No. 216)
Symmetry-distinct sites (fractional):
1 Zr 0.000 0.000 0.000 x4
2 Re 0.250 0.250 0.250 x4
3 Ag 0.125 0.125 0.625 x16

---

No. 3
Compound: Zr2ReAg
Source: the Alexandria database
Functional: SCAN
Structure: single point on PBEsol structure

ΔE to the lowest computed polymorph = 0.000 eV/atom
Mass density = 10.70 g/cm3

a b c (Å): 3.291 3.291 6.825
angles (deg): 90.00 90.00 90.00
Space group P4/mmm (No. 123)
Symmetry-distinct sites (fractional):
1 Zr 0.000 0.000 0.230 x2
2 Re 0.500 0.500 0.000 x1
3 Ag 0.500 0.500 0.500 x1

---

No. 4
Compound: Zr2ReAg
Source: the Alexandria database
Functional: SCAN
Structure: single point on PBEsol structure

ΔE to the lowest computed polymorph = 0.044 eV/atom
Mass density = 10.85 g/cm3

a b c (Å): 6.632 6.632 6.632
angles (deg): 90.00 90.00 90.00
Space group Fm-3m (No. 225)
Symmetry-distinct sites (fractional):
1 Zr 0.250 0.250 0.250 x8
2 Re 0.000 0.000 0.000 x4
3 Ag 0.000 0.000 0.500 x4

---

No. 5
Compound: ZrReAg3
Source: the Alexandria database
Functional: SCAN
Structure: single point on PBEsol structure

ΔE to the lowest computed polymorph = 0.000 eV/atom
Mass density = 8.78 g/cm3

a b c (Å): 4.843 4.843 4.843
angles (deg): 90.00 90.00 90.00
Space group Pm-3m (No. 221)
Symmetry-distinct sites (fractional):
1 Zr 0.000 0.000 0.000 x1
2 Re 0.500 0.500 0.500 x1
3 Ag 0.000 0.500 0.500 x3

---

No. 6
Compound: Ag2Rh
Source: the Alexandria database
Functional: SCAN
Structure: single point on PBEsol structure

ΔE to the lowest computed polymorph = 0.052 eV/atom
Mass density = 11.43 g/cm3

a b c (Å): 2.729 2.729 12.429
angles (deg): 90.00 90.00 90.00
Space group I4/mmm (No. 139)
Symmetry-distinct sites (fractional):
1 Ag 0.000 0.000 0.164 x4
2 Rh 0.000 0.000 0.500 x2

---

No. 7
Compound: Ag2Rh
Source: the Alexandria database
Functional: SCAN
Structure: single point on PBEsol structure

ΔE to the lowest computed polymorph = 0.000 eV/atom
Mass density = 11.49 g/cm3

a b c (Å): 2.7635 2.7635 6.9616
angles (deg): 90.00 90.00 120.00
Space group P-3m1 (No. 164)
Symmetry-distinct sites (fractional):
1 Ag 0.3333 0.6667 0.3294 x2
2 Rh 0.0000 0.0000 0.0000 x1

---

No. 8
Compound: Ag8Rh
Source: the Alexandria database
Functional: SCAN
Structure: single point on PBEsol structure

Uncorrected energy = -31.55 eV/atom
Mass density = 11.03 g/cm3

a b c (Å): 8.474 8.474 4.051
angles (deg): 90.00 90.00 90.00
Space group I4/mmm (No. 139)
Symmetry-distinct sites (fractional):
1 Ag 0.000 0.331 0.000 x8
2 Ag 0.165 0.165 0.500 x8
3 Rh 0.000 0.000 0.000 x2